## CsSrMg (GGA-PBE)

Data for an optimized crystal structure of CsSrMg.

Unit cell a=5.197 b=7.070 c=10.254 alpha=80.18 beta=89.21 gamma=89.98
Fractional positions:
Cs 0.242 0.288 0.349
Cs 0.758 0.712 0.651
Sr 0.254 0.155 0.863
Sr 0.746 0.845 0.137
Mg 0.251 0.622 0.974
Mg 0.749 0.378 0.026

Computed properties:
**Formation enthalpy at 0 K**: 11.7 kJ/mol of atoms

***

## BeNiAs2 (GGA-PBE)

Data for an optimized crystal structure of BeNiAs2.

Unit cell a=3.966 b=3.966 c=5.786 alpha=108.90 beta=108.90 gamma=46.93
Fractional positions:
Be 0.000 0.000 0.000
Ni 0.239 0.239 0.848
As 0.480 0.480 0.651
As 0.781 0.781 0.193

Computed properties:
**Formation enthalpy at 0 K**: -4.5 kJ/mol of atoms

***

Repeat the first record exactly.
## CsSrMg (GGA-PBE)

Data for an optimized crystal structure of CsSrMg.

Unit cell a=5.197 b=7.070 c=10.254 alpha=80.18 beta=89.21 gamma=89.98
Fractional positions:
Cs 0.242 0.288 0.349
Cs 0.758 0.712 0.651
Sr 0.254 0.155 0.863
Sr 0.746 0.845 0.137
Mg 0.251 0.622 0.974
Mg 0.749 0.378 0.026

Computed properties:
**Formation enthalpy at 0 K**: 11.7 kJ/mol of atoms